The following is a GGA-PBE calculation of an optimized crystal structure of AlHgO2, from Alexandria.

Geometry as POSCAR:
```
AlHgO2
1.0
1.456 0.841 6.673
-1.456 0.841 6.673
0.000 -1.681 6.673
Al Hg O
1 1 2
Direct
0.000 0.000 0.000
0.500 0.500 0.500
0.381 0.381 0.381
0.619 0.619 0.619
```

Properties
E_tot	-5.30	eV per atom
E_form (uncorrected)	-1.8111	eV/atom
V	49.0	Å³ per cell

The following is a GGA-PBE calculation of an optimized crystal structure of AcLaSiAu, from Alexandria.

Geometry as POSCAR:
```
AcLaSiAu
1.0
0.000 3.825 3.825
3.825 0.000 3.825
3.825 3.825 0.000
Ac La Si Au
1 1 1 1
Direct
0.000 0.000 0.000
0.500 0.500 0.500
0.250 0.250 0.250
0.750 0.750 0.750
```

Properties
E_tot	-5.03	eV per atom
E_form (uncorrected)	-0.5996	eV/atom
V	111.9	Å³ per cell

The following is a GGA-PBE calculation of an optimized crystal structure of LiSnF2, from Alexandria.

Geometry as POSCAR:
```
LiSnF2
1.0
1.591 0.919 6.628
-1.591 0.919 6.628
0.000 -1.837 6.628
Li Sn F
1 1 2
Direct
0.000 0.000 0.000
0.500 0.500 0.500
0.387 0.387 0.387
0.613 0.613 0.613
```

Properties
E_tot	-4.66	eV per atom
E_form (uncorrected)	-2.2405	eV/atom
V	58.1	Å³ per cell

The following is a GGA-PBE calculation of an optimized crystal structure of NbZnCr2Cu, from Alexandria.

Geometry as POSCAR:
```
NbZnCr2Cu
1.0
4.313 0.000 0.000
0.000 4.313 0.000
0.000 0.000 4.619
Nb Zn Cr Cu
1 1 2 1
Direct
0.000 0.000 0.000
0.500 0.500 0.000
0.000 0.500 0.500
0.500 0.000 0.500
0.000 0.000 0.500
```

Properties
ΔE_f	137.82	kJ/mol of atoms
E_tot	-5.51	eV per atom
V	85.9	Å³ per cell

The following is a GGA-PBE calculation of an optimized crystal structure of Sm4InPt, from Alexandria.

Geometry as POSCAR:
```
Sm4InPt
1.0
7.460 0.000 0.000
0.000 7.473 0.000
-0.458 0.000 7.065
Sm In Pt
8 2 2
Direct
0.149 0.169 0.182
0.149 0.331 0.682
0.328 0.645 0.112
0.328 0.855 0.612
0.672 0.145 0.388
0.672 0.355 0.888
0.851 0.669 0.318
0.851 0.831 0.818
0.500 0.000 0.000
0.500 0.500 0.500
0.000 0.000 0.500
0.000 0.500 0.000
```

Properties
ΔE_f	-38.69	kJ/mol of atoms
E_tot	-5.01	eV per atom
V	393.9	Å³ per cell

The following is a GGA-PBE calculation of an optimized crystal structure of Ho4Tm7Sc, from Alexandria.

Geometry as POSCAR:
```
Ho4Tm7Sc
1.0
6.367 0.000 0.000
1.000 6.575 0.000
2.105 0.414 8.671
Ho Tm Sc
4 7 1
Direct
0.150 0.314 0.281
0.333 0.880 0.694
0.667 0.120 0.306
0.850 0.686 0.719
0.005 0.255 0.951
0.179 0.804 0.362
0.312 0.390 0.615
0.500 0.000 0.000
0.688 0.610 0.385
0.821 0.196 0.638
0.995 0.745 0.049
0.500 0.500 0.000
```

Properties
ΔE_f	10.14	kJ/mol of atoms
E_tot	-4.56	eV per atom
V	363.0	Å³ per cell